# 1
An optimized crystal structure of BeCdIr2, computed with PBE.

a b c (Å): 2.7935 4.7895 8.8765
angles (deg): 90.00 90.00 90.00
Last column: nearest neighbours and their distance in Å.
Space group Cmm2 (No. 35)
Inequivalent atoms, fractional coordinates:
Be 0.0000 0.0000 0.0000 [2 per cell]  2 Ir 2.25
Cd 0.0000 0.5000 0.2596 [2 per cell]  2 Be 2.69, 6 Cd 2.77-2.79, 2 Ir 2.84
Ir 0.0000 0.0000 0.5382 [2 per cell]  8 Ir 2.72-2.79, 2 Cd 2.84
Ir 0.0000 0.5000 0.8013 [2 per cell]  2 Be 2.25

Values from the calculation:
DFT formation energy: 0.247 eV per atom
D(E_F): 7.6 states/eV per cell

# 2
An optimized crystal structure of SrHf2Mg2, computed with PBE.

a b c (Å): 8.9758 8.9758 3.2490
angles (deg): 90.00 90.00 90.00
Last column: nearest neighbours and their distance in Å.
Space group P4/mbm (No. 127)
Inequivalent atoms, fractional coordinates:
Sr 0.0000 0.0000 0.0000 [2 per cell]  2 Sr 3.25, 4 Hf 3.61
Hf 0.1141 0.3859 0.0000 [4 per cell]  1 Hf 2.90, 6 Mg 3.11-3.12
Mg 0.1765 0.6765 0.5000 [4 per cell]  6 Hf 3.11-3.12, 2 Mg 3.25

Values from the calculation:
DFT formation energy: 0.320 eV per atom
D(E_F): 9.0 states/eV per cell

# 3
An optimized crystal structure of BePtO, computed with PBE.

a b c (Å): 3.5658 4.6250 4.9840
angles (deg): 76.20 71.64 71.54
Last column: nearest neighbours and their distance in Å.
Space group P1 (No. 1)
Inequivalent atoms, fractional coordinates:
Be 0.0000 0.0000 0.0000 [1 per cell]  2 O 1.54-1.56
Be 0.0488 0.5702 0.7235 [1 per cell]  2 O 1.54-1.58
Pt 0.3300 0.5222 0.2198 [1 per cell]  2 O 2.25-2.35, 2 Be 2.34-2.43
Pt 0.5983 0.8118 0.4560 [1 per cell]  2 O 2.18-2.37, 3 Be 2.26-2.43
O 0.0261 0.3280 0.9967 [1 per cell]  2 Be 1.54
O 0.9707 0.9266 0.7181 [1 per cell]  2 Be 1.56-1.58

Values from the calculation:
formation energy without anion corrections: -314 kJ/mol of formula units
D(E_F): 0.0 states/eV per cell

# 4
An optimized crystal structure of Fe2AsOs, computed with PBE.

a b c (Å): 2.9771 4.1886 8.3403
angles (deg): 90.00 90.00 90.00
Last column: nearest neighbours and their distance in Å.
Space group Imm2 (No. 44)
Inequivalent atoms, fractional coordinates:
Fe 0.0000 0.0000 0.0000 [2 per cell]  4 As 2.57, 2 Fe 2.62, 4 Os 2.73-2.81
Fe 0.0000 0.5000 0.2420 [2 per cell]  2 As 2.40, 4 Os 2.58, 2 Fe 2.62
As 0.0000 0.0000 0.5164 [2 per cell]  6 Fe 2.40-2.57, 2 Os 2.51
Os 0.0000 0.5000 0.7748 [2 per cell]  2 As 2.51, 6 Fe 2.58-2.73

Values from the calculation:
DFT formation energy: 0.243 eV per atom
D(E_F): 8.2 states/eV per cell

# 5
An optimized crystal structure of Be4Tl5, computed with PBE.

a b c (Å): 10.9764 10.9764 3.6175
angles (deg): 90.00 90.00 90.00
Last column: nearest neighbours and their distance in Å.
Space group I4/mmm (No. 139)
Inequivalent atoms, fractional coordinates:
Be 0.0000 0.4123 0.0000 [8 per cell]  1 Be 1.92
Tl 0.0000 0.0000 0.0000 [2 per cell]  8 Tl 3.19
Tl 0.1695 0.1695 0.5000 [8 per cell]  4 Tl 3.08-3.19

Values from the calculation:
DFT formation energy: 0.610 eV per atom
D(E_F): 8.3 states/eV per cell

# 6
An optimized crystal structure of Sm4DyHo2Sc, computed with PBE.

a b c (Å): 5.0379 5.0379 9.9210
angles (deg): 90.00 90.00 90.00
Last column: nearest neighbours and their distance in Å.
Space group P4/mmm (No. 123)
Inequivalent atoms, fractional coordinates:
Sm 0.0000 0.5000 0.2450 [4 per cell]  4 Ho 3.50-3.57, 2 Sc 3.50, 4 Sm 3.56, 2 Dy 3.57
Dy 0.0000 0.0000 0.5000 [1 per cell]  4 Ho 3.56, 8 Sm 3.57
Ho 0.0000 0.0000 0.0000 [1 per cell]  8 Sm 3.50, 4 Sc 3.56
Ho 0.5000 0.5000 0.5000 [1 per cell]  4 Dy 3.56, 8 Sm 3.57
Sc 0.5000 0.5000 0.0000 [1 per cell]  8 Sm 3.50, 4 Ho 3.56

Values from the calculation:
DFT formation energy: 0.029 eV per atom
D(E_F): 11.4 states/eV per cell

Looking at total moment for the records above, in order, we have 0.000 0.000 0.000 1.084 0.000 0.000 μB/atom.